(1)
Computed, not measured: a geometry-optimized CsPm2AgO4 structure at the PBE level of DFT.

a b c (Å): 6.485 6.485 12.781
angles (deg): 90.00 90.00 146.78
Atoms (fractional coordinates):
Cs1 0.094 0.906 0.750
Cs2 0.906 0.094 0.250
Pm1 0.366 0.634 0.558
Pm2 0.366 0.634 0.942
Pm3 0.634 0.366 0.058
Pm4 0.634 0.366 0.442
Ag1 0.185 0.815 0.250
Ag2 0.815 0.185 0.750
O1 0.000 0.000 0.000
O2 0.000 0.000 0.500
O3 0.249 0.751 0.084
O4 0.249 0.751 0.416
O5 0.419 0.581 0.750
O6 0.581 0.419 0.250
O7 0.751 0.249 0.584
O8 0.751 0.249 0.916

Results
SG: No. 63
E_form (uncorrected), eV/f.u.: -17.83

***

(2)
Computed, not measured: a geometry-optimized CsPr2AgO4 structure at the PBE level of DFT.

a b c (Å): 6.570 6.570 12.894
angles (deg): 90.00 90.00 146.72
Atoms (fractional coordinates):
Cs1 0.094 0.906 0.750
Cs2 0.906 0.094 0.250
Pr1 0.367 0.633 0.559
Pr2 0.367 0.633 0.941
Pr3 0.633 0.367 0.059
Pr4 0.633 0.367 0.441
Ag1 0.185 0.815 0.250
Ag2 0.815 0.185 0.750
O1 0.000 0.000 0.000
O2 0.000 0.000 0.500
O3 0.249 0.751 0.085
O4 0.249 0.751 0.415
O5 0.419 0.581 0.750
O6 0.581 0.419 0.250
O7 0.751 0.249 0.585
O8 0.751 0.249 0.915

Results
SG: No. 63
E_form (uncorrected), eV/f.u.: -17.55

***

(3)
Computed, not measured: a geometry-optimized CsAgPtO2 structure at the PBE level of DFT.

a b c (Å): 7.735 7.735 4.788
angles (deg): 90.00 90.00 131.17
Atoms (fractional coordinates):
Cs1 0.250 0.750 0.816
Cs2 0.750 0.250 0.184
Ag1 0.000 0.000 0.000
Ag2 0.500 0.500 0.000
Pt1 0.250 0.250 0.500
Pt2 0.750 0.750 0.500
O1 0.093 0.907 0.480
O2 0.407 0.593 0.480
O3 0.593 0.407 0.520
O4 0.907 0.093 0.520

Results
SG: No. 67
E_form (uncorrected), eV/f.u.: -2.76

***

no.,uncorrected energy (eV per atom),magnetization (μB per formula unit)
1,-6.3590,0.0
2,-6.3304,0.0
3,-4.4851,0.0